[1]
The following is a GGA-PBE calculation of an optimized crystal structure of AcHgPt, from the Alexandria database.

Lattice parameters (Å, degrees): 4.2736 4.3417 10.7814 90.00 101.43 90.00
Fractional positions:
1 Ac 0.3245 0.3467 0.6490
2 Ac 0.6755 0.8467 0.3510
3 Hg 0.0479 0.3477 0.0958
4 Hg 0.9521 0.8477 0.9042
5 Pt 0.1789 0.3467 0.3579
6 Pt 0.8211 0.8467 0.6421

Output
DFT formation energy = -0.74 eV per atom
energy above the lowest structure with this stoichiometry = 0.034 eV/atom
crystal system = orthorhombic



[2]
The following is a GGA-PBE calculation of an optimized crystal structure of FeGe2Rh, from the Alexandria database.

Lattice parameters (Å, degrees): 2.9216 2.9216 8.8501 80.50 80.50 60.00
Site moments in Bohr magnetons follow the coordinates.
Fractional positions:
1 Ge 0.0924 0.0924 0.7227  -0.02
2 Ge 0.9076 0.9076 0.2773  -0.02
3 Rh 0.5000 0.5000 0.5000  -0.03
4 Fe 0.0000 0.0000 0.0000  2.76

Output
DFT formation energy = 0.09 eV per atom
energy above the lowest structure with this stoichiometry = 0.238 eV/atom
crystal system = trigonal



[3]
The following is a GGA-PBE calculation of an optimized crystal structure of LiPa2Si3Ni4, from the Alexandria database.

Lattice parameters (Å, degrees): 3.9556 3.9556 9.5603 90.00 90.00 90.00
Fractional positions:
1 Li 0.5000 0.5000 0.5000
2 Pa 0.5000 0.0000 0.2485
3 Pa 0.0000 0.5000 0.7515
4 Si 0.0000 0.0000 0.5000
5 Si 0.5000 0.0000 0.8731
6 Si 0.0000 0.5000 0.1269
7 Ni 0.5000 0.5000 0.0000
8 Ni 0.0000 0.0000 0.0000
9 Ni 0.5000 0.0000 0.6352
10 Ni 0.0000 0.5000 0.3648

Output
formation energy without anion corrections = -0.65 eV per atom
crystal system = tetragonal